(1)
{"formula": "Li2Mg3GaAg3", "functional": "PBE", "state": "relaxed", "cell": [[-2.339, 0.442, 1.794], [-1.318, -7.762, 0.195], [4.731, 3.326, 5.346]], "species": ["Mg", "Mg", "Ag", "Li", "Ag", "Ga", "Ag", "Mg", "Li"], "fractional_positions": [[0.500, 0.000, 0.692], [0.500, 0.692, 0.000], [0.000, 0.635, 0.635], [0.500, 0.333, 0.667], [0.000, 0.365, 0.000], [0.000, 0.000, 0.000], [0.000, 0.000, 0.365], [0.500, 0.308, 0.308], [0.500, 0.667, 0.333]], "e_form_ev_per_fu": -1.7, "spacegroup": "P-62m, No. 189"}


(2)
{"formula": "CaAsP2", "functional": "PBE", "state": "relaxed", "cell": [[-0.160, 5.625, -0.892], [-4.857, 2.679, -1.304], [2.012, -3.738, 3.801]], "species": ["P", "As", "Ca", "P"], "fractional_positions": [[0.000, 0.000, 0.000], [0.500, 0.500, 0.000], [0.750, 0.250, 0.500], [0.250, 0.750, 0.500]], "e_form_ev_per_fu": -0.4, "spacegroup": "I-4m2, No. 119"}


(3)
{"formula": "NaCaP2", "functional": "PBE", "state": "relaxed", "cell": [[-3.497, 0.613, -6.955], [6.159, -3.392, -3.396], [0.169, -3.865, -4.810]], "species": ["P", "P", "P", "Na", "Na", "P", "Ca", "Ca"], "fractional_positions": [[0.131, 0.625, 0.250], [0.619, 0.125, 0.250], [0.875, 0.869, 0.750], [0.250, 0.750, 0.500], [0.500, 0.500, 0.000], [0.375, 0.381, 0.750], [0.000, 0.000, 0.000], [0.750, 0.250, 0.500]], "e_form_ev_per_fu": -0.7, "polymorph_energy_mev_per_atom": 126, "spacegroup": "I-42d, No. 122"}


(4)
{"formula": "Ho4TlAg2Pd", "functional": "PBE", "state": "relaxed", "cell": [[5.138, 0.000, 0.000], [2.569, 4.449, 0.000], [2.569, 1.483, 8.357]], "species": ["Ho", "Pd", "Ag", "Tl", "Ho", "Ag", "Ho", "Ho"], "fractional_positions": [[0.131, 0.131, 0.608], [0.500, 0.500, 0.500], [0.745, 0.745, 0.766], [0.000, 0.000, 0.000], [0.618, 0.618, 0.147], [0.255, 0.255, 0.234], [0.869, 0.869, 0.392], [0.382, 0.382, 0.853]], "e_form_ev_per_fu": -3.8, "spacegroup": "R-3m, No. 166"}


(5)
{"formula": "Sr2Sb2Se5", "functional": "PBE", "state": "relaxed", "cell": [[7.792, 0.000, 0.000], [0.000, 8.002, 0.000], [-3.896, -4.001, 9.331]], "species": ["Se", "Se", "Sr", "Se", "Sb", "Se", "Sr", "Se", "Sb", "Sr", "Sr", "Se", "Se", "Sb", "Sb", "Se", "Se", "Se"], "fractional_positions": [[0.483, 0.254, 0.712], [0.271, 0.042, 0.288], [0.606, 0.136, 0.220], [0.517, 0.542, 0.288], [0.240, 0.324, 0.500], [0.729, 0.754, 0.712], [0.114, 0.636, 0.220], [0.203, 0.209, 0.943], [0.000, 0.000, 0.000], [0.886, 0.416, 0.780], [0.394, 0.916, 0.780], [0.760, 0.766, 0.057], [0.240, 0.709, 0.943], [0.760, 0.824, 0.500], [0.500, 0.500, 0.000], [0.937, 0.190, 0.500], [0.063, 0.690, 0.500], [0.797, 0.266, 0.057]], "formation_energy_uncorrected_mev_per_atom": -974, "spacegroup": "Ima2, No. 46"}


(6)
{"formula": "HWS2", "functional": "PBE", "state": "relaxed", "cell": [[-0.660, -2.743, 1.768], [0.654, -2.859, -4.341], [8.436, 0.540, 1.721]], "species": ["W", "S", "H", "S", "W", "S", "S", "H"], "fractional_positions": [[0.775, 0.534, 0.014], [0.158, 0.099, 0.433], [0.472, 0.272, 0.445], [0.240, 0.198, 0.015], [0.240, 0.866, 0.194], [0.746, 0.596, 0.292], [0.685, 0.686, 0.767], [0.293, 0.615, 0.705]], "polymorph_energy_mev_per_atom": 51, "spacegroup": "P1, No. 1"}


(7)
{"formula": "ZrBeCr2", "functional": "PBE", "state": "relaxed", "cell": [[-3.340, -3.709, -0.251], [1.439, 1.498, 4.545], [-1.873, 1.683, 0.038]], "species": ["Cr", "Cr", "Zr", "Be"], "fractional_positions": [[0.500, 0.500, 0.000], [0.000, 0.000, 0.000], [0.500, 0.000, 0.500], [0.000, 0.500, 0.500]], "e_form_ev_per_fu": 2.3, "spacegroup": "Cmmm, No. 65"}


(8)
{"formula": "MnCo", "functional": "PBE", "state": "relaxed", "cell": [[-0.096, 2.729, 2.929], [2.295, -0.468, 3.248], [3.143, 2.409, 0.595]], "species": ["Mn", "Mn", "Co", "Co"], "fractional_positions": [[0.125, 0.125, 0.125], [0.875, 0.875, 0.875], [0.625, 0.625, 0.625], [0.375, 0.375, 0.375]], "e_form_ev_per_fu": 0.3, "spacegroup": "Fd-3m, No. 227"}


(9)
{"formula": "Nb2HgGeIr", "functional": "PBE", "state": "relaxed", "cell": [[-1.911, -4.228, 1.827], [3.450, -2.380, -1.899], [2.690, 0.581, 4.158]], "species": ["Nb", "Ir", "Hg", "Ge", "Nb"], "fractional_positions": [[0.500, 0.000, 0.000], [0.000, 0.000, 0.000], [0.500, 0.500, 0.500], [0.000, 0.500, 0.000], [0.000, 0.000, 0.500]], "e_form_ev_per_fu": 3.8, "spacegroup": "P4/mmm, No. 123"}


(10)
{"formula": "LaSm3Dy2Y6", "functional": "PBE", "state": "relaxed", "cell": [[6.231, 0.000, 0.013], [-3.114, 5.397, 0.013], [-1.059, -1.835, 11.695]], "species": ["Y", "Sm", "Sm", "Y", "Y", "Y", "Dy", "Y", "Y", "Dy", "La", "Sm"], "fractional_positions": [[0.582, 0.916, 0.750], [0.500, 0.500, 0.500], [0.167, 0.833, 0.500], [0.084, 0.418, 0.250], [0.916, 0.582, 0.750], [0.749, 0.749, 0.250], [0.667, 0.333, 0.000], [0.418, 0.084, 0.250], [0.251, 0.251, 0.750], [0.333, 0.667, 0.000], [0.000, 0.000, 0.000], [0.833, 0.167, 0.500]], "e_form_ev_per_fu": 0.2, "spacegroup": "C2/m, No. 12"}


(11)
{"formula": "Al3Ni5P2Pd2", "functional": "PBE", "state": "relaxed", "cell": [[3.584, 0.000, 0.000], [0.000, 3.584, 0.000], [-1.792, -1.792, 12.118]], "species": ["Al", "P", "Ni", "Pd", "Al", "Ni", "Pd", "Ni", "Al", "P", "Ni", "Ni"], "fractional_positions": [[0.829, 0.829, 0.658], [0.628, 0.628, 0.256], [0.924, 0.424, 0.848], [0.723, 0.723, 0.446], [0.000, 0.000, 0.000], [0.500, 0.500, 0.000], [0.277, 0.277, 0.554], [0.576, 0.076, 0.152], [0.171, 0.171, 0.342], [0.372, 0.372, 0.744], [0.424, 0.924, 0.848], [0.076, 0.576, 0.152]], "e_form_ev_per_fu": -6.1, "spacegroup": "I4/mmm, No. 139"}


(12)
{"formula": "Rb4BiS5", "functional": "PBE", "state": "relaxed", "cell": [[-2.919, 5.983, -1.672], [-7.115, 1.460, 3.559], [1.998, 6.238, 4.745]], "species": ["Rb", "Bi", "Rb", "Rb", "S", "S", "S", "S", "Rb", "S"], "fractional_positions": [[0.599, 0.610, 0.197], [0.077, 0.000, 0.000], [0.796, 0.803, 0.610], [0.209, 0.197, 0.390], [0.761, 0.162, 0.307], [0.230, 0.838, 0.693], [0.068, 0.693, 0.162], [0.439, 0.000, 0.000], [0.406, 0.390, 0.803], [0.923, 0.307, 0.838]], "formation_energy_uncorrected_mev_per_atom": -633, "spacegroup": "I4, No. 79"}


(13)
{"formula": "Mg2CuMo", "functional": "PBE", "state": "relaxed", "cell": [[2.751, 0.000, 0.000], [0.000, 4.042, 0.000], [0.000, 0.000, 5.892]], "species": ["Mg", "Mo", "Mg", "Cu"], "fractional_positions": [[0.000, 0.000, 0.508], [0.500, 0.500, 0.250], [0.000, 0.000, 0.992], [0.500, 0.500, 0.750]], "e_form_ev_per_fu": 1.2, "polymorph_energy_mev_per_atom": 155, "spacegroup": "Pmmm, No. 47"}


(14)
{"formula": "PmTcIO4", "functional": "PBE", "state": "relaxed", "cell": [[6.727, 0.347, -0.284], [2.556, 6.233, -0.284], [1.587, 1.125, 6.724]], "species": ["I", "O", "Pm", "O", "I", "Tc", "O", "O", "Pm", "O", "O", "O", "O", "Tc"], "fractional_positions": [[0.010, 0.010, 0.251], [0.530, 0.530, 0.211], [0.750, 0.750, 0.124], [0.299, 0.299, 0.525], [0.990, 0.990, 0.749], [0.371, 0.371, 0.273], [0.489, 0.127, 0.137], [0.701, 0.701, 0.475], [0.250, 0.250, 0.876], [0.470, 0.470, 0.789], [0.873, 0.511, 0.863], [0.511, 0.873, 0.863], [0.127, 0.489, 0.137], [0.629, 0.629, 0.727]], "formation_energy_uncorrected_mev_per_atom": -1877, "spacegroup": "C2/m, No. 12"}


(15)
{"formula": "ErZr5C6", "functional": "PBE", "state": "relaxed", "cell": [[5.767, 0.138, 0.875], [1.415, 4.888, 2.849], [0.096, 0.050, 5.835]], "species": ["Zr", "C", "C", "Zr", "C", "Zr", "Zr", "Er", "C", "C", "Zr", "C"], "fractional_positions": [[0.500, 0.500, 0.000], [0.255, 0.256, 0.000], [0.746, 0.426, 0.659], [0.000, 0.667, 0.666], [0.745, 0.744, 0.000], [0.000, 0.333, 0.334], [0.500, 0.833, 0.333], [0.000, 0.000, 0.000], [0.254, 0.915, 0.659], [0.746, 0.085, 0.341], [0.500, 0.167, 0.667], [0.254, 0.574, 0.341]], "e_form_ev_per_fu": -8.2, "spacegroup": "C2/m, No. 12"}


(16)
{"formula": "La2MgNb", "functional": "PBE", "state": "relaxed", "cell": [[8.502, 0.000, 0.000], [0.000, 8.502, 0.000], [4.251, 4.251, 3.184]], "species": ["La", "Mg", "Nb", "Mg", "La", "La", "La", "Nb"], "fractional_positions": [[0.660, 0.125, 0.250], [0.250, 0.750, 0.500], [0.750, 0.250, 0.500], [0.500, 0.500, 0.000], [0.375, 0.340, 0.750], [0.875, 0.910, 0.750], [0.090, 0.625, 0.250], [0.000, 0.000, 0.000]], "e_form_ev_per_fu": 2.2, "spacegroup": "I-42d, No. 122"}


(17)
{"formula": "BeFeAs2", "functional": "PBE", "state": "relaxed", "cell": [[4.238, 0.000, 0.000], [2.119, 3.670, 0.000], [2.119, 1.223, 3.460]], "species": ["As", "Be", "As", "Fe"], "fractional_positions": [[0.000, 0.000, 0.000], [0.500, 0.500, 0.500], [0.750, 0.750, 0.750], [0.250, 0.250, 0.250]], "e_form_ev_per_fu": 2.5, "polymorph_energy_mev_per_atom": 625, "spacegroup": "F-43m, No. 216"}


(18)
{"formula": "Ho2CdBiO6", "functional": "PBE", "state": "relaxed", "cell": [[5.818, 0.000, 0.000], [2.909, 5.038, 0.000], [2.909, 1.680, 5.123]], "species": ["O", "O", "O", "Bi", "O", "Ho", "Cd", "O", "Ho", "O"], "fractional_positions": [[0.136, 0.401, 0.752], [0.221, 0.914, 0.243], [0.623, 0.221, 0.243], [0.311, 0.311, 0.067], [0.914, 0.623, 0.243], [0.522, 0.522, 0.433], [0.802, 0.802, 0.595], [0.710, 0.136, 0.752], [0.021, 0.021, 0.936], [0.401, 0.710, 0.752]], "formation_energy_uncorrected_mev_per_atom": -2270, "spacegroup": "R3, No. 146"}


(19)
{"formula": "AlNiSe", "functional": "PBE", "state": "relaxed", "cell": [[4.189, 0.000, 0.000], [2.095, 3.628, 0.000], [2.095, 1.209, 3.420]], "species": ["Al", "Se", "Ni"], "fractional_positions": [[0.250, 0.250, 0.250], [0.500, 0.500, 0.500], [0.000, 0.000, 0.000]], "formation_energy_uncorrected_mev_per_atom": 75, "polymorph_energy_mev_per_atom": 348, "spacegroup": "F-43m, No. 216"}


(20)
{"formula": "La3Pa2N6", "functional": "PBE", "state": "relaxed", "cell": [[4.289, 0.000, 0.000], [0.000, 4.289, 0.000], [-2.145, -2.145, 10.853]], "species": ["La", "N", "Pa", "La", "N", "N", "N", "La", "N", "N", "Pa"], "fractional_positions": [[0.000, 0.000, 0.000], [0.706, 0.706, 0.411], [0.598, 0.598, 0.197], [0.192, 0.192, 0.385], [0.076, 0.576, 0.153], [0.924, 0.424, 0.847], [0.576, 0.076, 0.153], [0.808, 0.808, 0.615], [0.294, 0.294, 0.589], [0.424, 0.924, 0.847], [0.402, 0.402, 0.803]], "formation_energy_uncorrected_mev_per_atom": -1377, "spacegroup": "I4/mmm, No. 139"}


Calculated total magnetic moment in order - 0.000, 0.000, 0.000, 0.000, 0.000, 0.000, 0.000, 1.794, 0.000, 0.000, 0.000, 0.111, 0.000, 0.181, 0.000, 0.338, 0.000, 0.054, 0.000, 0.072 μB/atom